No. 1
Below is a geometry-optimized Cu3SO structure, with properties calculated at the GGA-PBE level.

Computed properties:
Raw formation energy ... -0.024 eV per atom
Symmetry ... No. 221
Polymorph energy (0 for the lowest one) ... 0.000 eV per atom
Final energy ... -4.30 eV per atom
D(E_F) ... 4.35 states/eV/cell
ρ ... 6.20 g/cm³

abc: 3.998 3.998 3.998
angles: 90.00 90.00 90.00
Fractional positions:
S 0.500 0.500 0.500
O 0.000 0.000 0.000
Cu 0.000 0.500 0.000
Cu 0.000 0.000 0.500
Cu 0.500 0.000 0.000

---

No. 2
Below is a geometry-optimized Ho3PaRh4 structure, with properties calculated at the GGA-PBE level.

Computed properties:
Energy of formation from the pure elements ... -855 meV/atom
Symmetry ... No. 166
Final energy ... -7.43 eV per atom
D(E_F) ... 4.81 states/eV/cell
ρ ... 11.59 g/cm³

abc: 4.903 4.903 8.323
angles: 72.87 72.87 60.00
Fractional positions:
Pa 0.000 0.000 0.000
Rh 0.889 0.889 0.334
Rh 0.371 0.371 0.888
Rh 0.111 0.111 0.666
Rh 0.629 0.629 0.112
Ho 0.246 0.246 0.263
Ho 0.754 0.754 0.737
Ho 0.500 0.500 0.500

---

No. 3
Below is a geometry-optimized La6CeNdDy2 structure, with properties calculated at the GGA-PBE level.

Computed properties:
Energy of formation from the pure elements ... 220 meV/atom
Symmetry ... No. 12
Final energy ... -4.73 eV per atom
D(E_F) ... 23.36 states/eV/cell
ρ ... 6.71 g/cm³

abc: 9.022 6.843 7.043
angles: 119.06 107.37 90.00
Fractional positions:
La 0.415 0.663 0.325
La 0.189 0.112 0.703
La 0.811 0.409 0.297
La 0.189 0.591 0.703
La 0.811 0.888 0.297
La 0.585 0.337 0.675
Ce 0.000 0.500 0.000
Nd 0.500 0.000 0.000
Dy 0.178 0.102 0.204
Dy 0.822 0.898 0.796

---

No. 4
Below is a geometry-optimized UInGa structure, with properties calculated at the GGA-PBE level.

Computed properties:
Energy of formation from the pure elements ... 131 meV/atom
Symmetry ... No. 71
Polymorph energy (0 for the lowest one) ... 0.066 eV per atom
Final energy ... -5.55 eV per atom
D(E_F) ... 8.85 states/eV/cell
ρ ... 10.09 g/cm³

abc: 4.299 6.312 6.312
angles: 103.46 70.09 70.09
Fractional positions:
U 0.000 0.879 0.121
U 0.000 0.121 0.879
In 0.500 0.651 0.349
In 0.500 0.349 0.651
Ga 0.772 0.728 0.728
Ga 0.228 0.272 0.272

---

No. 5
Below is a geometry-optimized CaLaCd2Au4 structure, with properties calculated at the GGA-PBE level.

Computed properties:
Energy of formation from the pure elements ... -617 meV/atom
Symmetry ... No. 166
Final energy ... -3.35 eV per atom
D(E_F) ... 3.92 states/eV/cell
ρ ... 10.87 g/cm³

abc: 5.022 5.022 8.821
angles: 73.46 73.46 60.00
Fractional positions:
Ca 0.500 0.500 0.500
La 0.000 0.000 0.000
Cd 0.752 0.752 0.743
Cd 0.248 0.248 0.257
Au 0.380 0.380 0.860
Au 0.875 0.875 0.376
Au 0.125 0.125 0.624
Au 0.620 0.620 0.140

---

No. 6
Below is a geometry-optimized SrTaPt2 structure, with properties calculated at the GGA-PBE level.

Computed properties:
Energy of formation from the pure elements ... 9 meV/atom
Symmetry ... No. 119
Polymorph energy (0 for the lowest one) ... 0.589 eV per atom
Final energy ... -6.40 eV per atom
D(E_F) ... 3.12 states/eV/cell
ρ ... 13.94 g/cm³

abc: 5.508 5.508 5.508
angles: 136.38 136.38 63.39
Fractional positions:
Pt 0.000 0.000 0.000
Pt 0.250 0.750 0.500
Sr 0.500 0.500 0.000
Ta 0.750 0.250 0.500

---

No. 7
Below is a geometry-optimized Na2Np2CuSe6 structure, with properties calculated at the GGA-PBE level.

Computed properties:
Raw formation energy ... -0.904 eV per atom
Symmetry ... No. 12
Final energy ... -5.77 eV per atom
D(E_F) ... 17.87 states/eV/cell
ρ ... 5.85 g/cm³

abc: 7.107 7.107 7.421
angles: 98.25 98.25 122.97
Fractional positions:
Na 0.840 0.160 0.000
Na 0.160 0.840 0.000
Np 0.337 0.663 0.500
Np 0.663 0.337 0.500
Cu 0.000 0.000 0.500
Se 0.764 0.764 0.702
Se 0.066 0.418 0.723
Se 0.236 0.236 0.298
Se 0.418 0.066 0.723
Se 0.934 0.582 0.277
Se 0.582 0.934 0.277

---

No. 8
Below is a geometry-optimized Rb4NaCd5 structure, with properties calculated at the GGA-PBE level.

Computed properties:
Energy of formation from the pure elements ... 4 meV/atom
Symmetry ... No. 107
Final energy ... -0.97 eV per atom
D(E_F) ... 5.42 states/eV/cell
ρ ... 3.63 g/cm³

abc: 6.131 8.866 8.866
angles: 83.13 69.77 69.77
Fractional positions:
Rb 0.744 0.706 0.706
Rb 0.450 0.294 0.706
Rb 0.450 0.706 0.294
Rb 0.156 0.294 0.294
Na 0.219 0.000 0.000
Cd 0.109 0.652 0.000
Cd 0.109 0.000 0.652
Cd 0.761 0.000 0.348
Cd 0.761 0.348 0.000
Cd 0.729 0.000 0.000

---

No. 9
Below is a geometry-optimized TeRh4 structure, with properties calculated at the GGA-PBE level.

Computed properties:
Raw formation energy ... 0.012 eV per atom
Symmetry ... No. 87
Polymorph energy (0 for the lowest one) ... 0.000 eV per atom
Final energy ... -6.50 eV per atom
D(E_F) ... 6.51 states/eV/cell
ρ ... 11.57 g/cm³

abc: 4.796 4.796 4.796
angles: 100.70 100.70 128.96
Fractional positions:
Te 0.000 0.000 0.000
Rh 0.192 0.611 0.802
Rh 0.611 0.808 0.419
Rh 0.808 0.389 0.198
Rh 0.389 0.192 0.581

---

No. 10
Below is a geometry-optimized NdNi12B6 structure, with properties calculated at the GGA-PBE level.

Computed properties:
Energy of formation from the pure elements ... -396 meV/atom
Symmetry ... No. 36
Polymorph energy (0 for the lowest one) ... 0.000 eV per atom
Final energy ... -6.41 eV per atom
D(E_F) ... 16.96 states/eV/cell
ρ ... 7.75 g/cm³

abc: 6.054 6.054 11.047
angles: 90.00 90.00 104.72
Fractional positions:
Nd 0.833 0.833 0.499
Nd 0.167 0.167 0.999
Ni 0.569 0.569 0.916
Ni 0.431 0.431 0.416
Ni 0.779 0.779 0.100
Ni 0.221 0.221 0.600
Ni 0.541 0.805 0.735
Ni 0.805 0.541 0.735
Ni 0.459 0.195 0.235
Ni 0.195 0.459 0.235
Ni 0.146 0.881 0.755
Ni 0.881 0.146 0.755
Ni 0.854 0.119 0.255
Ni 0.119 0.854 0.255
Ni 0.657 0.274 0.567
Ni 0.274 0.657 0.567
Ni 0.343 0.726 0.067
Ni 0.726 0.343 0.067
Ni 0.631 0.996 0.937
Ni 0.996 0.631 0.937
Ni 0.369 0.004 0.437
Ni 0.004 0.369 0.437
Ni 0.475 0.211 0.775
Ni 0.211 0.475 0.775
Ni 0.525 0.789 0.275
Ni 0.789 0.525 0.275
B 0.836 0.836 0.836
B 0.164 0.164 0.336
B 0.486 0.486 0.659
B 0.514 0.514 0.159
B 0.325 0.754 0.885
B 0.754 0.325 0.885
B 0.675 0.246 0.385
B 0.246 0.675 0.385
B 0.399 0.987 0.622
B 0.987 0.399 0.622
B 0.601 0.013 0.122
B 0.013 0.601 0.122

---

No. 11
Below is a geometry-optimized V3TeCl structure, with properties calculated at the GGA-PBE level.

Computed properties:
Raw formation energy ... 1.074 eV per atom
Symmetry ... No. 221
Polymorph energy (0 for the lowest one) ... 0.570 eV per atom
Final energy ... -5.39 eV per atom
D(E_F) ... 9.89 states/eV/cell
ρ ... 3.63 g/cm³

abc: 5.247 5.247 5.247
angles: 90.00 90.00 90.00
Fractional positions:
V 0.000 0.500 0.000
V 0.000 0.000 0.500
V 0.500 0.000 0.000
Te 0.000 0.000 0.000
Cl 0.500 0.500 0.500

---

No. 12
Below is a geometry-optimized SiPCl structure, with properties calculated at the GGA-PBE level.

Computed properties:
Raw formation energy ... 0.126 eV per atom
Symmetry ... No. 107
Polymorph energy (0 for the lowest one) ... 0.688 eV per atom
Final energy ... -4.10 eV per atom
D(E_F) ... 0.95 states/eV/cell
ρ ... 2.27 g/cm³

abc: 6.786 6.786 6.786
angles: 151.91 151.91 40.14
Fractional positions:
Cl 0.036 0.036 0.000
P 0.200 0.200 0.000
Si 0.764 0.764 0.000

---

No. 13
Below is a geometry-optimized Pr2PuI6 structure, with properties calculated at the GGA-PBE level.

Computed properties:
Raw formation energy ... -1.218 eV per atom
Symmetry ... No. 12
Final energy ... -4.91 eV per atom
D(E_F) ... 19.61 states/eV/cell
ρ ... 5.42 g/cm³

abc: 4.312 8.955 11.509
angles: 113.17 90.00 103.93
Fractional positions:
Pr 0.676 0.352 0.849
Pr 0.324 0.648 0.151
Pu 0.000 0.000 0.500
I 0.318 0.635 0.870
I 0.682 0.365 0.130
I 0.974 0.948 0.211
I 0.643 0.286 0.548
I 0.026 0.052 0.789
I 0.357 0.714 0.452

---

No. 14
Below is a geometry-optimized AsCl structure, with properties calculated at the GGA-PBE level.

Computed properties:
Raw formation energy ... -0.379 eV per atom
Symmetry ... No. 19
Final energy ... -3.63 eV per atom
D(E_F) ... 0.00 states/eV/cell
ρ ... 2.63 g/cm³

abc: 11.208 7.910 6.295
angles: 90.00 90.00 90.00
Fractional positions:
As 0.670 0.393 0.042
As 0.170 0.107 0.958
As 0.330 0.893 0.458
As 0.830 0.607 0.542
As 0.208 0.149 0.566
As 0.708 0.351 0.434
As 0.792 0.649 0.934
As 0.292 0.851 0.066
Cl 0.476 0.937 0.983
Cl 0.976 0.563 0.017
Cl 0.524 0.437 0.517
Cl 0.024 0.063 0.483
Cl 0.296 0.313 0.046
Cl 0.796 0.187 0.954
Cl 0.704 0.813 0.454
Cl 0.204 0.687 0.546

---

No. 15
Below is a geometry-optimized ZrAlSi structure, with properties calculated at the GGA-PBE level.

Computed properties:
Raw formation energy ... -0.553 eV per atom
Symmetry ... No. 129
Final energy ... -6.46 eV per atom
D(E_F) ... 2.25 states/eV/cell
ρ ... 4.68 g/cm³

abc: 3.813 3.813 7.138
angles: 90.00 90.00 90.00
Fractional positions:
Si 0.000 0.500 0.783
Si 0.500 0.000 0.217
Al 0.000 0.000 0.500
Al 0.500 0.500 0.500
Zr 0.000 0.500 0.165
Zr 0.500 0.000 0.835

---

No. 16
Below is a geometry-optimized K4Rb7Pt structure, with properties calculated at the GGA-PBE level.

Computed properties:
Energy of formation from the pure elements ... 18 meV/atom
Symmetry ... No. 12
Final energy ... -1.42 eV per atom
D(E_F) ... 8.54 states/eV/cell
ρ ... 1.76 g/cm³

abc: 6.731 8.555 17.410
angles: 102.82 90.00 113.16
Fractional positions:
K 0.041 0.082 0.833
K 0.959 0.918 0.167
K 0.688 0.376 0.270
K 0.312 0.624 0.730
Rb 0.208 0.416 0.084
Rb 0.792 0.584 0.916
Rb 0.411 0.823 0.354
Rb 0.589 0.177 0.646
Rb 0.137 0.274 0.450
Rb 0.500 0.000 0.000
Rb 0.863 0.726 0.550
Pt 0.000 0.000 0.000

---

No. 17
Below is a geometry-optimized CsAcZnO3 structure, with properties calculated at the GGA-PBE level.

Computed properties:
Raw formation energy ... -2.123 eV per atom
Symmetry ... No. 11
Final energy ... -5.64 eV per atom
D(E_F) ... 0.00 states/eV/cell
ρ ... 5.74 g/cm³

abc: 3.870 8.656 8.434
angles: 104.37 90.00 90.00
Fractional positions:
Cs 0.250 0.188 0.210
Cs 0.750 0.812 0.790
Ac 0.250 0.649 0.166
Ac 0.750 0.351 0.834
Zn 0.250 0.072 0.613
Zn 0.750 0.928 0.387
O 0.750 0.838 0.156
O 0.250 0.162 0.844
O 0.250 0.858 0.462
O 0.750 0.142 0.538
O 0.750 0.458 0.132
O 0.250 0.542 0.868

---

No. 18
Below is a geometry-optimized KCa3As structure, with properties calculated at the GGA-PBE level.

Computed properties:
Energy of formation from the pure elements ... 1006 meV/atom
Symmetry ... No. 221
Polymorph energy (0 for the lowest one) ... 1.416 eV per atom
Final energy ... -1.34 eV per atom
D(E_F) ... 4.61 states/eV/cell
ρ ... 1.86 g/cm³

abc: 5.938 5.938 5.938
angles: 90.00 90.00 90.00
Fractional positions:
K 0.000 0.000 0.000
As 0.500 0.500 0.500
Ca 0.000 0.500 0.000
Ca 0.000 0.000 0.500
Ca 0.500 0.000 0.000

---

No. 19
Below is a geometry-optimized TmTlAu2 structure, with properties calculated at the GGA-PBE level.

Computed properties:
Energy of formation from the pure elements ... -536 meV/atom
Symmetry ... No. 123
Final energy ... -3.88 eV per atom
D(E_F) ... 1.59 states/eV/cell
ρ ... 13.96 g/cm³

abc: 3.685 3.685 6.723
angles: 90.00 90.00 90.00
Fractional positions:
Tl 0.500 0.500 0.500
Tm 0.500 0.500 0.000
Au 0.000 0.000 0.778
Au 0.000 0.000 0.222

---

No. 20
Below is a geometry-optimized Pr2NdGa2Hg2 structure, with properties calculated at the GGA-PBE level.

Computed properties:
Energy of formation from the pure elements ... -386 meV/atom
Symmetry ... No. 166
Final energy ... -3.38 eV per atom
D(E_F) ... 4.32 states/eV/cell
ρ ... 8.59 g/cm³

abc: 4.704 4.704 10.126
angles: 76.57 76.57 60.00
Fractional positions:
Pr 0.129 0.129 0.614
Pr 0.871 0.871 0.386
Nd 0.000 0.000 0.000
Ga 0.744 0.744 0.768
Ga 0.256 0.256 0.232
Hg 0.605 0.605 0.185
Hg 0.395 0.395 0.815